[1]
## Zn2InGa9 (GGA-PBE)

Data for a relaxed structure of Zn2InGa9.

Cell and atoms, written as POSCAR:
```
Zn2InGa9
1.0
8.6736 0.0000 0.0000
-4.3368 7.5115 0.0000
0.0000 0.0000 3.6515
Zn In Ga
2 1 9
Direct
0.3333 0.6667 0.0000 Zn
0.6667 0.3333 0.0000 Zn
0.0000 0.0000 0.0000 In
0.0000 0.5000 0.0000 Ga
0.1854 0.3709 0.5000 Ga
0.1854 0.8146 0.5000 Ga
0.3709 0.1854 0.5000 Ga
0.5000 0.0000 0.0000 Ga
0.5000 0.5000 0.0000 Ga
0.6291 0.8146 0.5000 Ga
0.8146 0.1854 0.5000 Ga
0.8146 0.6291 0.5000 Ga
```

Properties
Formation energy (eV/atom): 0.058
Total magnetic moment (μB per atom): 0.000
Relative energy among the computed polymorphs (kJ/mol of formula units): 30

=====

[2]
## Sm2In2BRh4 (GGA-PBE)

Data for a relaxed structure of Sm2In2BRh4.

Cell and atoms, written as POSCAR:
```
Sm2In2BRh4
1.0
-3.1569 3.1569 4.1249
3.1569 -3.1569 4.1249
3.1569 3.1569 -4.1249
Sm In B Rh
2 2 1 4
Direct
0.2500 0.7500 0.5000 Sm
0.7500 0.2500 0.5000 Sm
0.1937 0.1937 0.0000 In
0.8063 0.8063 0.0000 In
0.5000 0.5000 0.0000 B
0.2637 0.2637 0.5274 Rh
0.2637 0.7363 0.0000 Rh
0.7363 0.2637 0.0000 Rh
0.7363 0.7363 0.4726 Rh
```

Properties
Formation energy (eV/atom): -0.517
Total magnetic moment (μB per atom): 0.000

=====

[3]
## PuUOsPd (GGA-PBE)

Data for a relaxed structure of PuUOsPd.

Cell and atoms, written as POSCAR:
```
PuUOsPd
1.0
0.0000 3.2863 3.2863
3.2863 0.0000 3.2863
3.2863 3.2863 0.0000
Pu U Os Pd
1 1 1 1
Direct
0.0000 0.0000 0.0000 Pu
0.7500 0.7500 0.7500 U
0.5000 0.5000 0.5000 Os
0.2500 0.2500 0.2500 Pd
```

Properties
Formation energy (eV/atom): -0.266
Total magnetic moment (μB per atom): 1.077
Relative energy among the computed polymorphs (kJ/mol of formula units): 0

=====

Among the records above, which one has the highest formation energy?
Zn2InGa9

=====

What is the formation energy in the third record?
-0.266 eV/atom